A relaxed Sc2FeOs crystal. Source: Alexandria, functional PBEsol.

Cell and atoms, written as CIF:
```
data_Sc2FeOs
_chemical_formula_sum 'Sc2 Fe1 Os1'
_cell_length_a 3.915
_cell_length_b 3.994
_cell_length_c 5.052
_cell_angle_alpha 113.29
_cell_angle_beta 90.00
_cell_angle_gamma 90.00
_space_group_name_H-M_alt 'P 1'
_space_group_IT_number 1
loop_
_space_group_symop_operation_xyz
'x,y,z'
loop_
_atom_site_label
_atom_site_fract_x
_atom_site_fract_y
_atom_site_fract_z
Fe1 0.000 0.682 0.365
Os1 0.500 0.570 0.140
Sc1 0.000 0.977 0.954
Sc2 0.500 0.272 0.544
```

Computed properties:
- DFT formation energy: -65 meV/atom